No. 1
A relaxed WI crystal. Source: the Alexandria database, functional PBE. Values from VASP.

Values from the calculation:
Uncorrected formation energy   937 meV per atom
Size of the total moment   0.00 μB per atom

The structure in Quantum ESPRESSO input format:
```
&SYSTEM
  ibrav = 0, nat = 16, ntyp = 2
/
ATOMIC_SPECIES
W 183.84 W.upf
I 126.90 I.upf
ATOMIC_POSITIONS angstrom
W 2.4183 -6.6456 4.3870
W -3.0842 -4.2990 3.5526
W -5.2910 -5.0027 4.3958
W -3.5947 -6.6958 3.8196
W -4.7437 0.5025 6.8193
W -3.2889 -5.2717 5.8083
W -6.0345 -5.5098 -1.5767
W -6.8989 -9.6163 7.9467
I -3.1814 -9.2844 2.7409
I -4.3305 -2.0861 5.7406
I -1.7123 -2.3868 1.9724
I -0.3541 -6.0548 4.3902
I -5.5270 -7.7041 6.3665
I -8.0635 -4.4118 4.3989
I -5.0471 -5.4242 1.0791
I -2.3016 -5.1861 8.4641
CELL_PARAMETERS angstrom
-4.9638 1.8810 7.3938
-6.5603 -5.5553 -2.9910
3.8947 -6.9603 4.3854
```

=====

No. 2
A relaxed WI4 crystal. Source: the Alexandria database, functional PBE. Values from VASP.

Values from the calculation:
Uncorrected formation energy   500 meV per atom
Size of the total moment   0.14 μB per atom

The structure in Quantum ESPRESSO input format:
```
&SYSTEM
  ibrav = 0, nat = 5, ntyp = 2
/
ATOMIC_SPECIES
W 183.84 W.upf
I 126.90 I.upf
ATOMIC_POSITIONS angstrom
W 0.7947 -1.2553 4.5177
I 0.0106 1.2391 3.6800
I 0.0000 0.0000 0.0000
I -1.0713 -2.3987 2.8594
I 2.6501 -1.3511 2.4959
CELL_PARAMETERS angstrom
-3.7107 0.1915 4.0435
1.5682 -4.9890 1.6754
3.7320 2.2868 3.3165
```

=====

No. 3
A relaxed WI4 crystal. Source: the Alexandria database, functional PBE. Values from VASP.

Values from the calculation:
Uncorrected formation energy   36 meV per atom
Size of the total moment   0.20 μB per atom

The structure in Quantum ESPRESSO input format:
```
&SYSTEM
  ibrav = 0, nat = 10, ntyp = 2
/
ATOMIC_SPECIES
W 183.84 W.upf
I 126.90 I.upf
ATOMIC_POSITIONS angstrom
W 1.4189 3.6734 3.7688
W 5.8730 3.1340 3.0307
I 6.1800 5.0374 5.0631
I 3.6902 2.1155 4.6090
I 2.4892 5.4838 5.6628
I 3.6018 4.6919 2.1905
I 0.1772 1.4823 5.0507
I 7.1147 5.3251 1.7489
I 4.8028 1.3236 1.1368
I 1.1120 1.7700 1.7364
CELL_PARAMETERS angstrom
7.0587 0.2645 0.0319
0.1744 7.4253 -0.9313
0.0588 -0.8824 7.6989
```

=====

No. 4
A relaxed WI crystal. Source: the Alexandria database, functional PBE. Values from VASP.

Values from the calculation:
Uncorrected formation energy   444 meV per atom
Size of the total moment   0.00 μB per atom

The structure in Quantum ESPRESSO input format:
```
&SYSTEM
  ibrav = 0, nat = 16, ntyp = 2
/
ATOMIC_SPECIES
W 183.84 W.upf
I 126.90 I.upf
ATOMIC_POSITIONS angstrom
W -11.1616 -1.5778 -0.1994
W -11.0897 4.7465 0.8408
W -3.4345 2.9848 2.2401
W -6.1826 -3.1422 1.2468
W -4.6805 4.6811 0.7954
W -12.3894 -0.4359 1.7256
W -9.6413 5.6911 2.7188
W -4.7524 -1.6432 -0.2447
I -1.5132 1.9058 0.3217
I -10.8374 2.0822 2.1315
I -8.2744 7.8743 1.3402
I -7.5677 -4.7710 -0.7442
I -7.0908 4.1619 2.4535
I -14.3289 1.1975 0.2743
I -8.7330 -1.6130 1.5122
I -4.9864 0.4668 1.8341
CELL_PARAMETERS angstrom
-6.3416 9.3691 1.5757
-9.5005 -6.2658 -0.9797
0.0182 -0.5544 3.3696
```

=====

No. 5
A relaxed WI crystal. Source: the Alexandria database, functional PBE. Values from VASP.

Values from the calculation:
Uncorrected formation energy   1487 meV per atom
Size of the total moment   0.00 μB per atom

The structure in Quantum ESPRESSO input format:
```
&SYSTEM
  ibrav = 0, nat = 4, ntyp = 2
/
ATOMIC_SPECIES
I 126.90 I.upf
W 183.84 W.upf
ATOMIC_POSITIONS angstrom
I 0.0000 1.9264 3.5955
I 1.6683 0.9632 8.1508
W 1.6683 0.9632 1.7068
W 0.0000 1.9264 6.2620
CELL_PARAMETERS angstrom
3.3367 0.0000 0.0000
-1.6683 2.8897 0.0000
0.0000 0.0000 9.1105
```

=====

No. 6
A relaxed WI crystal. Source: the Alexandria database, functional PBE. Values from VASP.

Values from the calculation:
Uncorrected formation energy   1503 meV per atom
Size of the total moment   0.00 μB per atom

The structure in Quantum ESPRESSO input format:
```
&SYSTEM
  ibrav = 0, nat = 8, ntyp = 2
/
ATOMIC_SPECIES
I 126.90 I.upf
W 183.84 W.upf
ATOMIC_POSITIONS angstrom
I 5.2522 5.2522 2.5589
I 4.9411 1.8544 0.0000
I 1.8544 4.9411 0.0000
I 1.5433 1.5433 2.5589
W 5.9991 5.9991 0.0000
W 4.1942 2.6013 2.5589
W 2.6013 4.1942 2.5589
W 0.7964 0.7964 0.0000
CELL_PARAMETERS angstrom
6.7956 0.0000 0.0000
0.0000 6.7956 0.0000
0.0000 0.0000 5.1178
```

=====

No. 7
A relaxed WI crystal. Source: the Alexandria database, functional PBE. Values from VASP.

Values from the calculation:
Uncorrected formation energy   875 meV per atom
Size of the total moment   0.00 μB per atom

The structure in Quantum ESPRESSO input format:
```
&SYSTEM
  ibrav = 0, nat = 16, ntyp = 2
/
ATOMIC_SPECIES
I 126.90 I.upf
W 183.84 W.upf
ATOMIC_POSITIONS angstrom
I 9.2789 11.9952 1.7576
I 3.2566 5.9730 0.0000
I 11.9952 2.7657 1.7576
I 5.9730 8.7880 0.0000
I 2.7657 0.0493 1.7576
I 6.0716 3.2566 0.0000
I 8.7880 6.0716 0.0000
I 0.0493 9.2789 1.7576
W 8.5284 9.7279 0.0000
W 9.5384 8.3389 1.7576
W 8.3389 2.5061 1.7576
W 3.7056 9.5384 1.7576
W 9.7279 3.5162 0.0000
W 2.5061 3.7056 1.7576
W 3.5162 2.3167 0.0000
W 2.3167 8.5284 0.0000
CELL_PARAMETERS angstrom
12.0446 0.0000 0.0000
0.0000 12.0446 0.0000
0.0000 0.0000 3.5153
```

=====

No. 8
A relaxed W4I crystal. Source: the Alexandria database, functional PBE. Values from VASP.

Values from the calculation:
Uncorrected formation energy   3166 meV per atom
Size of the total moment   0.00 μB per atom

The structure in Quantum ESPRESSO input format:
```
&SYSTEM
  ibrav = 0, nat = 5, ntyp = 2
/
ATOMIC_SPECIES
W 183.84 W.upf
I 126.90 I.upf
ATOMIC_POSITIONS angstrom
W -2.9636 0.4918 -1.5304
W -2.5597 -2.1213 0.5614
W 0.0000 0.0000 0.0000
W -2.6717 1.0175 1.7871
I -4.0975 -0.3060 0.4091
CELL_PARAMETERS angstrom
-2.8516 -2.6470 -2.7561
-2.2677 -1.5956 3.8789
-3.0757 3.6306 -0.3047
```

=====

No. 9
A relaxed WI crystal. Source: the Alexandria database, functional PBE. Values from VASP.

Values from the calculation:
Uncorrected formation energy   2290 meV per atom
Size of the total moment   0.00 μB per atom

The structure in Quantum ESPRESSO input format:
```
&SYSTEM
  ibrav = 0, nat = 12, ntyp = 2
/
ATOMIC_SPECIES
W 183.84 W.upf
I 126.90 I.upf
ATOMIC_POSITIONS angstrom
W -0.3505 -1.1438 3.9992
W -3.7546 -1.5434 0.9723
W -3.7608 -0.9313 5.5038
W -4.4431 -5.0551 -0.0924
W -0.0112 -4.1367 0.5587
W 1.3435 -5.3867 3.8056
I 0.3219 -6.5175 1.6498
I 1.0104 -3.0058 2.7145
I -2.7330 -0.4125 3.1281
I -1.3783 -1.6625 6.3749
I -2.3937 -3.4055 -0.3123
I -5.8040 -3.1930 1.1923
CELL_PARAMETERS angstrom
-6.8207 0.4249 3.0093
-1.3770 -7.0234 -2.1294
2.7093 -2.5000 6.4937
```

=====

No. 10
A relaxed WI crystal. Source: the Alexandria database, functional PBE. Values from VASP.

Values from the calculation:
Uncorrected formation energy   2076 meV per atom
Size of the total moment   0.22 μB per atom

The structure in Quantum ESPRESSO input format:
```
&SYSTEM
  ibrav = 0, nat = 8, ntyp = 2
/
ATOMIC_SPECIES
W 183.84 W.upf
I 126.90 I.upf
ATOMIC_POSITIONS angstrom
W 1.7413 -3.7929 0.9618
W 4.2465 -0.5197 -0.2014
W 0.0000 0.0000 0.0000
W 2.2741 -0.4612 3.5998
I 6.3119 -1.7132 0.8886
I 4.3396 -1.6547 4.6899
I 3.8067 -4.9864 2.0519
I 2.0655 -1.1935 1.0901
CELL_PARAMETERS angstrom
-0.2311 -3.7344 4.7631
3.7136 -3.8514 -2.8395
4.7794 2.8120 2.4366
```

=====

No. 11
A relaxed WI crystal. Source: the Alexandria database, functional PBE. Values from VASP.

Values from the calculation:
Uncorrected formation energy   585 meV per atom
Size of the total moment   0.00 μB per atom

The structure in Quantum ESPRESSO input format:
```
&SYSTEM
  ibrav = 0, nat = 16, ntyp = 2
/
ATOMIC_SPECIES
W 183.84 W.upf
I 126.90 I.upf
ATOMIC_POSITIONS angstrom
W 5.6840 3.1890 8.8696
W 0.7599 2.7959 1.9653
W 4.1642 1.1940 7.3828
W 5.4450 3.0358 6.3122
W 9.3274 0.9542 0.8947
W 0.5209 2.9492 4.5227
W 4.4032 1.0408 9.9402
W 9.0883 0.8009 3.4521
I 6.6022 2.0207 0.5633
I 8.1702 1.9693 5.9808
I 1.6780 3.9643 10.2716
I 3.4309 1.9629 1.8489
I 1.4932 2.0271 7.2663
I 3.2461 0.0257 4.8541
I 6.4173 3.9579 3.5686
I 8.3550 0.0321 8.9860
CELL_PARAMETERS angstrom
9.8482 0.0000 0.0000
0.0000 3.9900 0.0000
0.0000 0.0000 10.8349
```

=====

No. 12
A relaxed YWI2 crystal. Source: the Alexandria database, functional PBE. Values from VASP.

Values from the calculation:
Uncorrected formation energy   665 meV per atom
Size of the total moment   0.42 μB per atom

The structure in Quantum ESPRESSO input format:
```
&SYSTEM
  ibrav = 0, nat = 8, ntyp = 3
/
ATOMIC_SPECIES
W 183.84 W.upf
Y 88.91 Y.upf
I 126.90 I.upf
ATOMIC_POSITIONS angstrom
W 0.0000 0.0000 0.0000
W -3.8815 -2.9695 5.3579
Y 0.5969 -2.1348 2.7646
Y -2.0386 -0.3945 6.9484
I -4.9536 -0.9338 7.0387
I -4.2251 -3.0449 10.0383
I -0.3757 0.0398 4.5313
I -2.2859 -2.7893 3.0041
CELL_PARAMETERS angstrom
-1.2460 -4.7098 1.1741
2.4398 0.4402 4.3551
-7.1139 0.9055 6.7770
```

=====

No. 13
A relaxed YWI2 crystal. Source: the Alexandria database, functional PBE. Values from VASP.

Values from the calculation:
Uncorrected formation energy   651 meV per atom
Size of the total moment   0.64 μB per atom

The structure in Quantum ESPRESSO input format:
```
&SYSTEM
  ibrav = 0, nat = 4, ntyp = 3
/
ATOMIC_SPECIES
W 183.84 W.upf
I 126.90 I.upf
Y 88.91 Y.upf
ATOMIC_POSITIONS angstrom
W 3.6497 3.6497 3.6497
I 5.4746 5.4746 5.4746
I 1.8249 1.8249 1.8249
Y 0.0000 0.0000 0.0000
CELL_PARAMETERS angstrom
0.0000 3.6497 3.6497
3.6497 0.0000 3.6497
3.6497 3.6497 0.0000
```

=====

No. 14
A relaxed YZnW2I crystal. Source: the Alexandria database, functional PBE. Values from VASP.

Values from the calculation:
Uncorrected formation energy   1632 meV per atom
Size of the total moment   0.00 μB per atom

The structure in Quantum ESPRESSO input format:
```
&SYSTEM
  ibrav = 0, nat = 5, ntyp = 4
/
ATOMIC_SPECIES
I 126.90 I.upf
Y 88.91 Y.upf
W 183.84 W.upf
Zn 65.41 Zn.upf
ATOMIC_POSITIONS angstrom
I 0.0000 2.6425 0.0000
Y 2.3677 2.6425 2.3677
W 2.3677 0.0000 0.0000
W 0.0000 0.0000 2.3677
Zn 0.0000 0.0000 0.0000
CELL_PARAMETERS angstrom
4.7355 0.0000 0.0000
0.0000 5.2850 0.0000
0.0000 0.0000 4.7355
```

=====

No. 15
A relaxed Zn2W2I crystal. Source: the Alexandria database, functional PBE. Values from VASP.

Values from the calculation:
Uncorrected formation energy   776 meV per atom
Size of the total moment   0.00 μB per atom

The structure in Quantum ESPRESSO input format:
```
&SYSTEM
  ibrav = 0, nat = 5, ntyp = 3
/
ATOMIC_SPECIES
I 126.90 I.upf
W 183.84 W.upf
Zn 65.41 Zn.upf
ATOMIC_POSITIONS angstrom
I 0.0000 0.0000 0.0000
W 1.8321 3.6641 4.0704
W 3.6641 1.8321 4.0704
Zn 3.6641 3.6641 6.1869
Zn 1.8321 1.8321 1.9539
CELL_PARAMETERS angstrom
3.6641 0.0000 0.0000
0.0000 3.6641 0.0000
1.8321 1.8321 8.1408
```

=====

No. 16
A relaxed Zn2WI2 crystal. Source: the Alexandria database, functional PBE. Values from VASP.

Values from the calculation:
Uncorrected formation energy   1029 meV per atom
Size of the total moment   0.45 μB per atom

The structure in Quantum ESPRESSO input format:
```
&SYSTEM
  ibrav = 0, nat = 10, ntyp = 3
/
ATOMIC_SPECIES
Zn 65.41 Zn.upf
I 126.90 I.upf
W 183.84 W.upf
ATOMIC_POSITIONS angstrom
Zn 2.6304 6.1920 0.0000
Zn 0.9312 2.6304 0.0000
Zn 6.1920 4.4927 0.0000
Zn 4.4927 0.9312 0.0000
I 2.1882 1.3734 2.3282
I 4.9350 5.7498 2.3282
I 1.3734 4.9350 2.3282
I 5.7498 2.1882 2.3282
W 0.0000 0.0000 0.0000
W 3.5616 3.5616 0.0000
CELL_PARAMETERS angstrom
7.1232 0.0000 0.0000
0.0000 7.1232 0.0000
0.0000 0.0000 4.6564
```

=====

No. 17
A relaxed ZnW3I crystal. Source: the Alexandria database, functional PBE. Values from VASP.

Values from the calculation:
Uncorrected formation energy   2796 meV per atom
Size of the total moment   0.00 μB per atom

The structure in Quantum ESPRESSO input format:
```
&SYSTEM
  ibrav = 0, nat = 5, ntyp = 3
/
ATOMIC_SPECIES
I 126.90 I.upf
Zn 65.41 Zn.upf
W 183.84 W.upf
ATOMIC_POSITIONS angstrom
I 0.0000 0.0000 0.0000
Zn 2.4295 2.4295 2.4295
W 0.0000 0.0000 2.4295
W 2.4295 0.0000 0.0000
W 0.0000 2.4295 0.0000
CELL_PARAMETERS angstrom
4.8590 0.0000 0.0000
0.0000 4.8590 0.0000
0.0000 0.0000 4.8590
```

=====

No. 18
A relaxed Zn2W2I crystal. Source: the Alexandria database, functional PBE. Values from VASP.

Values from the calculation:
Uncorrected formation energy   1212 meV per atom
Size of the total moment   0.00 μB per atom

The structure in Quantum ESPRESSO input format:
```
&SYSTEM
  ibrav = 0, nat = 10, ntyp = 3
/
ATOMIC_SPECIES
Zn 65.41 Zn.upf
I 126.90 I.upf
W 183.84 W.upf
ATOMIC_POSITIONS angstrom
Zn 6.5157 4.5110 0.0000
Zn 2.8401 6.5157 0.0000
Zn 0.8354 2.8401 0.0000
Zn 4.5110 0.8354 0.0000
I 0.0000 0.0000 0.0000
I 3.6756 3.6756 0.0000
W 2.3279 1.3477 1.5980
W 6.0035 2.3279 1.5980
W 1.3477 5.0233 1.5980
W 5.0233 6.0035 1.5980
CELL_PARAMETERS angstrom
7.3511 0.0000 0.0000
0.0000 7.3511 0.0000
0.0000 0.0000 3.1960
```

=====

No. 19
A relaxed ZnWI3 crystal. Source: the Alexandria database, functional PBE. Values from VASP.

Values from the calculation:
Uncorrected formation energy   1169 meV per atom
Size of the total moment   0.96 μB per atom

The structure in Quantum ESPRESSO input format:
```
&SYSTEM
  ibrav = 0, nat = 5, ntyp = 3
/
ATOMIC_SPECIES
Zn 65.41 Zn.upf
I 126.90 I.upf
W 183.84 W.upf
ATOMIC_POSITIONS angstrom
Zn 0.0000 0.0000 0.0000
I 0.0000 2.7650 0.0000
I 2.7650 0.0000 0.0000
I 0.0000 0.0000 2.7650
W 2.7650 2.7650 2.7650
CELL_PARAMETERS angstrom
5.5300 0.0000 0.0000
0.0000 5.5300 0.0000
0.0000 0.0000 5.5300
```

=====

No. 20
A relaxed Zn2WI2 crystal. Source: the Alexandria database, functional PBE. Values from VASP.

Values from the calculation:
Uncorrected formation energy   1079 meV per atom
Size of the total moment   0.77 μB per atom

The structure in Quantum ESPRESSO input format:
```
&SYSTEM
  ibrav = 0, nat = 5, ntyp = 3
/
ATOMIC_SPECIES
W 183.84 W.upf
Zn 65.41 Zn.upf
I 126.90 I.upf
ATOMIC_POSITIONS angstrom
W 0.0000 0.0000 0.0000
Zn 5.8638 5.8638 2.6862
Zn 2.9319 2.9319 1.1984
I 2.9319 5.8638 1.9423
I 5.8638 2.9319 1.9423
CELL_PARAMETERS angstrom
5.8638 0.0000 0.0000
0.0000 5.8638 0.0000
2.9319 2.9319 3.8846
```